1.
Here is a relaxed Pu2SiSb crystal from Alexandria. Energies are from PBE-GGA.

## Properties
Mass density   11.4 g/cm³
Energy above the most stable polymorph in this dataset   52 meV/atom
Raw formation energy   -410 meV per atom
Crystal system   tetragonal
Calculated total energy   -9.9620 eV/atom
V   93.0 Å³ per cell

Cell lengths 4.6673, 4.6673, 4.2682 Å; angles 90.00, 90.00, 90.00 degrees
With the nearest neighbours (Å) after each atom.
Fractional positions:
Pu  0.0000  0.5000  0.0000  4 Sb 3.16, 4 Si 3.16, 4 Pu 3.30
Pu  0.5000  0.0000  0.0000  4 Sb 3.16, 4 Si 3.16, 4 Pu 3.30
Si  0.0000  0.0000  0.5000  8 Pu 3.16, 4 Sb 3.30
Sb  0.5000  0.5000  0.5000  8 Pu 3.16, 4 Si 3.30

=====

2.
Here is a relaxed RbMnInCl4 crystal from Alexandria. Energies are from PBE-GGA.

## Properties
Mass density   2.8 g/cm³
Raw formation energy   -1283 meV per atom
Crystal system   monoclinic
Calculated total energy   -4.1778 eV/atom
V   469.5 Å³ per cell

Cell lengths 7.2153, 7.4035, 9.3917 Å; angles 90.00, 110.62, 90.00 degrees
With the nearest neighbours (Å) after each atom.
Fractional positions:
Rb  0.2106  0.2500  0.4324  6 Cl 3.31-3.48
Rb  0.7894  0.7500  0.5676  6 Cl 3.31-3.48
Mn  0.2647  0.7500  0.1996  4 Cl 2.35-2.36
Mn  0.7353  0.2500  0.8004  4 Cl 2.35-2.36
In  0.3065  0.2500  0.9789  4 Cl 3.05-3.25
In  0.6935  0.7500  0.0211  4 Cl 3.05-3.25
Cl  0.0587  0.7500  0.3456  1 Mn 2.35
Cl  0.0671  0.7500  0.9394  1 Mn 2.36
Cl  0.4783  0.0005  0.2644  1 Mn 2.35
Cl  0.4783  0.4995  0.2644  1 Mn 2.35
Cl  0.5217  0.5005  0.7356  1 Mn 2.35
Cl  0.5217  0.9995  0.7356  1 Mn 2.35
Cl  0.9329  0.2500  0.0606  1 Mn 2.36
Cl  0.9413  0.2500  0.6544  1 Mn 2.35

=====

3.
Here is a relaxed K3ScRh crystal from Alexandria. Energies are from PBE-GGA.

## Properties
Mass density   2.0 g/cm³
Crystal system   cubic
Energy relative to the elements   1.03 eV/atom
Calculated total energy   -2.3672 eV/atom
V   218.5 Å³ per cell

Cell lengths 6.0231, 6.0231, 6.0231 Å; angles 90.00, 90.00, 90.00 degrees
With the nearest neighbours (Å) after each atom.
Fractional positions:
K  0.0000  0.0000  0.5000  2 Rh 3.01
K  0.0000  0.5000  0.0000  2 Rh 3.01
K  0.5000  0.0000  0.0000  2 Rh 3.01
Sc  0.5000  0.5000  0.5000  12 K 4.26
Rh  0.0000  0.0000  0.0000  6 K 3.01

=====

4.
Here is a relaxed Rb6Cd2HgO crystal from Alexandria. Energies are from PBE-GGA.

## Properties
Mass density   3.2 g/cm³
Raw formation energy   -267 meV per atom
Crystal system   monoclinic
Calculated total energy   -1.5570 eV/atom
V   502.0 Å³ per cell

Cell lengths 8.9211, 8.9211, 8.9134 Å; angles 119.97, 119.97, 90.01 degrees
With the nearest neighbours (Å) after each atom.
Fractional positions:
Rb  0.0000  0.0000  0.0000  1 O 2.76
Rb  0.0003  0.0003  0.4385  1 O 2.76
Rb  0.0001  0.5625  0.0006  1 O 2.76
Rb  0.5625  0.0001  0.0006  1 O 2.76
Rb  0.5628  0.5628  0.0008  1 O 2.76
Rb  0.5629  0.5629  0.5632  1 O 2.76
Cd  0.0309  0.5307  0.4993  12 Rb 4.47-4.49
Cd  0.5307  0.0309  0.4993  12 Rb 4.47-4.49
Hg  0.2820  0.2820  0.0015  6 Rb 3.54-3.55
O  0.7815  0.7815  0.0007  6 Rb 2.76

=====

5.
Here is a relaxed NaPrP2O8 crystal from Alexandria. Energies are from PBE-GGA.

## Properties
Mass density   3.6 g/cm³
Raw formation energy   -2242 meV per atom
Crystal system   tetragonal
Calculated total energy   -6.9573 eV/atom
V   163.4 Å³ per cell

Cell lengths 5.9848, 5.9848, 5.9848 Å; angles 106.36, 106.36, 115.89 degrees
With the nearest neighbours (Å) after each atom.
Fractional positions:
Na  0.0000  0.0000  0.0000  8 O 2.44-2.58
Pr  0.7500  0.2500  0.5000  8 O 2.44-2.55
P  0.2500  0.7500  0.5000  4 O 1.55
P  0.5000  0.5000  0.0000  4 O 1.55
O  0.1018  0.4302  0.3284  1 P 1.55
O  0.1018  0.7733  0.6716  1 P 1.55
O  0.1821  0.3558  0.8263  1 P 1.55
O  0.2267  0.8982  0.3284  1 P 1.55
O  0.5295  0.3558  0.1737  1 P 1.55
O  0.5698  0.8982  0.6716  1 P 1.55
O  0.6442  0.4705  0.8263  1 P 1.55
O  0.6442  0.8179  0.1737  1 P 1.55

=====

6.
Here is a relaxed Ti3SnOs crystal from Alexandria. Energies are from PBE-GGA.

## Properties
Mass density   7.0 g/cm³
Energy above the most stable polymorph in this dataset   0 meV/atom
Crystal system   cubic
Energy relative to the elements   0.24 eV/atom
Calculated total energy   -7.5388 eV/atom
V   107.2 Å³ per cell

Cell lengths 4.7504, 4.7504, 4.7504 Å; angles 90.00, 90.00, 90.00 degrees
With the nearest neighbours (Å) after each atom.
Fractional positions:
Ti  0.0000  0.0000  0.5000  2 Os 2.38
Ti  0.0000  0.5000  0.0000  2 Os 2.38
Ti  0.5000  0.0000  0.0000  2 Os 2.38
Sn  0.5000  0.5000  0.5000  12 Ti 3.36
Os  0.0000  0.0000  0.0000  6 Ti 2.38

=====

7.
Here is a relaxed BeVCr3 crystal from Alexandria. Energies are from PBE-GGA.

## Properties
Mass density   4.8 g/cm³
Energy above the most stable polymorph in this dataset   679 meV/atom
Crystal system   cubic
Energy relative to the elements   1.51 eV/atom
Calculated total energy   -6.8327 eV/atom
V   74.0 Å³ per cell

Cell lengths 4.1976, 4.1976, 4.1976 Å; angles 90.00, 90.00, 90.00 degrees
With the nearest neighbours (Å) after each atom.
Fractional positions:
Be  0.0000  0.0000  0.0000  12 Cr 2.97
V  0.5000  0.5000  0.5000  6 Cr 2.10
Cr  0.0000  0.5000  0.5000  2 V 2.10
Cr  0.5000  0.0000  0.5000  2 V 2.10
Cr  0.5000  0.5000  0.0000  2 V 2.10

=====

8.
Here is a relaxed SrOsW2 crystal from Alexandria. Energies are from PBE-GGA.

## Properties
Mass density   15.2 g/cm³
Energy above the most stable polymorph in this dataset   465 meV/atom
Crystal system   cubic
Energy relative to the elements   1.15 eV/atom
Calculated total energy   -8.5546 eV/atom
V   281.5 Å³ per cell

Cell lengths 6.5541, 6.5541, 6.5541 Å; angles 90.00, 90.00, 90.00 degrees
With the nearest neighbours (Å) after each atom.
Fractional positions:
Sr  0.0000  0.0000  0.0000  8 W 2.84
Sr  0.0000  0.5000  0.5000  8 W 2.84
Sr  0.5000  0.0000  0.5000  8 W 2.84
Sr  0.5000  0.5000  0.0000  8 W 2.84
Os  0.0000  0.0000  0.5000  8 W 2.84
Os  0.0000  0.5000  0.0000  8 W 2.84
Os  0.5000  0.0000  0.0000  8 W 2.84
Os  0.5000  0.5000  0.5000  8 W 2.84
W  0.2500  0.2500  0.2500  4 Os 2.84, 4 Sr 2.84
W  0.2500  0.2500  0.7500  4 Os 2.84, 4 Sr 2.84
W  0.2500  0.7500  0.2500  4 Os 2.84, 4 Sr 2.84
W  0.2500  0.7500  0.7500  4 Os 2.84, 4 Sr 2.84
W  0.7500  0.2500  0.2500  4 Os 2.84, 4 Sr 2.84
W  0.7500  0.2500  0.7500  4 Os 2.84, 4 Sr 2.84
W  0.7500  0.7500  0.2500  4 Os 2.84, 4 Sr 2.84
W  0.7500  0.7500  0.7500  4 Os 2.84, 4 Sr 2.84